No. 1
VASP calculation (PBE-GGA) on crystalline LiTm at its relaxed geometry.

Summary:
Volume: 24.46 Å³ per atom
Excess energy over the best structure of this formula in the dataset: 8.5 kJ per mole of atoms
E: -6.07 eV/cell
Crystal system: cubic
Calculated formation energy: 0.160 eV per atom

Lattice parameters (Å, degrees): 3.657 3.657 3.657 90.00 90.00 90.00
Space group Pm-3m (No. 221)
Symmetry-distinct sites (fractional):
Li1 0.000 0.000 0.000 [1 per cell]
Tm1 0.500 0.500 0.500 [1 per cell]

No. 2
VASP calculation (PBE-GGA) on crystalline Dy3ScPt3 at its relaxed geometry.

Summary:
Volume: 23.28 Å³ per atom
E: -181.74 eV/cell
Crystal system: monoclinic
Calculated formation energy: -1.025 eV per atom

Lattice parameters (Å, degrees): 10.286 9.411 6.807 90.00 98.34 90.00
Space group C2/m (No. 12)
Symmetry-distinct sites (fractional):
Dy1 0.000 0.192 0.000 [4 per cell]
Dy2 0.000 0.281 0.500 [4 per cell]
Dy3 0.198 0.500 0.005 [4 per cell]
Sc1 0.219 0.000 0.455 [4 per cell]
Pt1 0.053 0.000 0.709 [4 per cell]
Pt2 0.248 0.253 0.746 [8 per cell]

No. 3
VASP calculation (PBE-GGA) on crystalline Cs3Ho2PaSe6 at its relaxed geometry.

Summary:
Volume: 32.87 Å³ per atom
Uncorrected formation energy: -1.557 eV/atom
E: -121.61 eV/cell
Crystal system: monoclinic

Lattice parameters (Å, degrees): 7.360 12.747 8.759 90.00 106.26 90.00
Space group C2/m (No. 12)
Symmetry-distinct sites (fractional):
Cs1 0.000 0.000 0.000 [2 per cell]
Cs2 0.000 0.333 0.000 [4 per cell]
Ho1 0.000 0.167 0.500 [4 per cell]
Pa1 0.000 0.500 0.500 [2 per cell]
Se1 0.228 0.000 0.687 [4 per cell]
Se2 0.229 0.333 0.686 [8 per cell]

No. 4
VASP calculation (PBE-GGA) on crystalline CoRe2Tc at its relaxed geometry.

Summary:
Volume: 13.81 Å³ per atom
Excess energy over the best structure of this formula in the dataset: 6.2 kJ per mole of atoms
E: -42.01 eV/cell
Crystal system: tetragonal
Calculated formation energy: 0.090 eV per atom

Lattice parameters (Å, degrees): 2.700 2.700 7.579 90.00 90.00 90.00
Space group P4mm (No. 99)
Symmetry-distinct sites (fractional):
Co1 0.000 0.000 0.000 [1 per cell]
Re1 0.000 0.000 0.501 [1 per cell]
Re2 0.500 0.500 0.229 [1 per cell]
Tc1 0.500 0.500 0.758 [1 per cell]

No. 5
VASP calculation (PBE-GGA) on crystalline Ga4Ni7Pd at its relaxed geometry.

Summary:
Volume: 12.39 Å³ per atom
E: -61.06 eV/cell
Crystal system: triclinic
Calculated formation energy: -0.275 eV per atom

Lattice parameters (Å, degrees): 4.600 5.087 6.904 70.82 77.40 89.16
Space group P-1 (No. 2)
Symmetry-distinct sites (fractional):
Ga1 0.204 0.100 0.315 [2 per cell]
Ga2 0.291 0.591 0.684 [2 per cell]
Ni1 0.012 0.752 0.995 [2 per cell]
Ni2 0.204 0.593 0.334 [2 per cell]
Ni3 0.308 0.125 0.639 [2 per cell]
Ni4 0.500 0.500 0.000 [1 per cell]
Pd1 0.500 0.000 0.000 [1 per cell]

No. 6
VASP calculation (PBE-GGA) on crystalline Ca2SbRh at its relaxed geometry.

Summary:
Volume: 33.22 Å³ per atom
Uncorrected formation energy: -0.457 eV/atom
E: -69.22 eV/cell
Crystal system: tetragonal

Lattice parameters (Å, degrees): 10.242 10.242 5.067 90.00 90.00 90.00
Space group I-42d (No. 122)
Symmetry-distinct sites (fractional):
Ca1 0.088 0.750 0.125 [8 per cell]
Sb1 0.000 0.000 0.500 [4 per cell]
Rh1 0.000 0.000 0.000 [4 per cell]

No. 7
VASP calculation (PBE-GGA) on crystalline Co2TcMoH at its relaxed geometry.

Summary:
Volume: 10.56 Å³ per atom
Excess energy over the best structure of this formula in the dataset: 0.0 kJ per mole of atoms
E: -38.73 eV/cell
Crystal system: tetragonal

Lattice parameters (Å, degrees): 3.684 3.684 3.890 90.00 90.00 90.00
Space group P4/mmm (No. 123)
Symmetry-distinct sites (fractional):
Co1 0.000 0.500 0.000 [2 per cell]
Tc1 0.000 0.000 0.500 [1 per cell]
Mo1 0.500 0.500 0.500 [1 per cell]
H1 0.000 0.000 0.000 [1 per cell]

No. 8
VASP calculation (PBE-GGA) on crystalline Te3Pb at its relaxed geometry.

Summary:
Volume: 36.71 Å³ per atom
Uncorrected formation energy: -0.043 eV/atom
E: -13.30 eV/cell
Crystal system: orthorhombic

Lattice parameters (Å, degrees): 4.157 4.172 8.468 90.00 90.00 90.00
Space group Pmm2 (No. 25)
Symmetry-distinct sites (fractional):
Te1 0.000 0.000 0.000 [1 per cell]
Te2 0.000 0.500 0.410 [1 per cell]
Te3 0.500 0.500 0.907 [1 per cell]
Pb1 0.500 0.000 0.559 [1 per cell]

- What is the formula in the fourth record?
  CoRe2Tc